Entry 1:
Density functional theory data (PBE) for Ga2Ni8Mo after structural relaxation.

Cell and atoms, written as CIF:
```
data_Ga2Ni8Mo
_space_group_name_H-M_alt 'P 1'
_space_group_IT_number 1
_space_group_name_Hall 'P 1'
_cell_length_a 3.7787
_cell_length_b 6.1561
_cell_length_c 6.1561
_cell_angle_alpha 106.45
_cell_angle_beta 89.99
_cell_angle_gamma 89.99
loop_
_atom_site_label
_atom_site_fract_x
_atom_site_fract_y
_atom_site_fract_z
Ga1 0.0000 0.6273 0.3727
Ga2 0.0000 0.3727 0.6273
Ni1 0.0003 0.9607 0.7005
Ni2 0.0003 0.7005 0.9607
Ni3 0.5003 0.6674 0.6674
Ni4 0.5000 0.2446 0.7554
Ni5 0.5000 0.7554 0.2446
Ni6 0.4997 0.3326 0.3326
Ni7 0.9997 0.2995 0.0393
Ni8 0.9997 0.0393 0.2995
Mo1 0.5000 0.0000 0.0000
```

Summary:
ΔE_f, eV/atom: -0.05
SG: No. 65
Volume, Å³/atom: 12.486
Total magnetic moment, μB/atom: 0.0000



Entry 2:
Density functional theory data (PBE) for NaLa3 after structural relaxation.

Cell and atoms, written as CIF:
```
data_NaLa3
_space_group_name_H-M_alt 'P 1'
_space_group_IT_number 1
_space_group_name_Hall 'P 1'
_cell_length_a 3.7002
_cell_length_b 6.3960
_cell_length_c 6.1191
_cell_angle_alpha 90.00
_cell_angle_beta 90.00
_cell_angle_gamma 90.00
loop_
_atom_site_label
_atom_site_fract_x
_atom_site_fract_y
_atom_site_fract_z
Na1 0.0000 0.6516 0.0000
La1 0.5000 0.1408 0.0000
La2 0.5000 0.5184 0.5000
La3 0.0000 0.0226 0.5000
```

Summary:
ΔE_f, eV/atom: 0.16
SG: No. 25
Polymorph energy (0 for the lowest one), meV per atom: 11
Volume, Å³/atom: 36.204
Total magnetic moment, μB/atom: 0.0001